This record from Alexandria describes a geometry-optimized TaTi2Te6 structure. The functional is PBE.

The offset from the most stable computed form comes out at 0.0 kJ/mol of formula units. The uncorrected formation energy is -574.0 meV/atom.

It has space group C2/m (No. 12), with a = 15.481 Å, b = 3.741 Å, c = 9.576 Å, α = 90.00°, β = 112.50° and γ = 90.00°. The distinct sites, in fractional coordinates, are Ta at (0.000, 0.000, 0.000), Ti at (0.167, 0.500, 0.334), Te at (0.028, 0.000, 0.307), Te at (0.141, 0.500, 0.029) and Te at (0.195, 0.500, 0.638).

This record from Alexandria describes a geometry-optimized Ac4Ga5Rh2 structure. The functional is PBE.

The formation enthalpy at 0 K comes out at -0.530 eV per atom.

It has space group P2/m (No. 10), with a = 7.210 Å, b = 4.213 Å, c = 9.539 Å, α = 90.00°, β = 92.77° and γ = 90.00°. The distinct sites, in fractional coordinates, are Ac at (0.181, 0.000, 0.364), Ac at (0.247, 0.000, 0.938), Ga at (0.202, 0.500, 0.662), Ga at (0.438, 0.500, 0.194), Ga at (0.500, 0.500, 0.500) and Rh at (0.065, 0.500, 0.150).

This record from Alexandria describes a geometry-optimized ZnSbO3 structure. The functional is PBE.

The uncorrected formation energy is -1240.7 meV/atom.

It has space group P2_1/m (No. 11), with a = 5.490 Å, b = 8.069 Å, c = 5.553 Å, α = 90.00°, β = 91.63° and γ = 90.00°. The distinct sites, in fractional coordinates, are Zn at (0.013, 0.250, 0.469), Zn at (0.476, 0.750, 0.996), Sb at (0.000, 0.000, 0.000), Sb at (0.500, 0.000, 0.500), O at (0.124, 0.750, 0.874), O at (0.180, 0.571, 0.362), O at (0.351, 0.070, 0.811) and O at (0.394, 0.250, 0.366).

Question: What is the formula in the first record?
Answer: TaTi2Te6

Question: What is the formula in the third record?
Answer: ZnSbO3